Arrangement A

This record from the Alexandria database describes an optimized crystal structure of CaPmLu2. The functional is GGA-PBE.

Geometry as extended XYZ:
```
4
Lattice="3.6138 0.0000 0.0000 0.0000 3.6138 0.0000 0.0000 0.0000 10.2757" Properties=species:S:1:pos:R:3 pbc="T T T"
Ca 0.0000 0.0000 0.0000
Pm 0.0000 0.0000 5.1378
Lu 1.8069 1.8069 2.7570
Lu 1.8069 1.8069 7.5187
```

***

Arrangement B

This record from the Alexandria database describes an optimized crystal structure of CaPmLu2. The functional is GGA-PBE.

Geometry as extended XYZ:
```
4
Lattice="1.7944 1.0360 11.9094 -1.7944 1.0360 11.9094 0.0000 -2.0720 11.9094" Properties=species:S:1:pos:R:3 pbc="T T T"
Ca 0.0000 0.0000 0.0000
Pm 0.0000 0.0000 17.8641
Lu 0.0000 0.0000 8.7876
Lu 0.0000 0.0000 26.9407
```

***

Of them, arrangement B has the highest stability.

***

Arrangement A

This record from the Alexandria database describes an optimized crystal structure of YScTe. The functional is GGA-PBE.

Geometry as extended XYZ:
```
3
Lattice="3.8943 0.0000 0.0000 -1.9471 3.3725 0.0000 0.0000 0.0000 6.6488" Properties=species:S:1:pos:R:3 pbc="T T T"
Y 0.0000 0.0000 0.0000
Sc 1.9471 1.1242 2.6419
Te 0.0000 2.2484 4.5162
```

***

Arrangement B

This record from the Alexandria database describes an optimized crystal structure of YScTe. The functional is GGA-PBE.

Geometry as extended XYZ:
```
3
Lattice="-1.8935 1.8935 5.4498 1.8935 -1.8935 5.4498 1.8935 1.8935 -5.4498" Properties=species:S:1:pos:R:3 pbc="T T T"
Y 0.0000 0.0000 0.0000
Sc 0.0000 0.0000 7.4385
Te 0.0000 0.0000 3.4760
```

***

Of them, arrangement B has the highest stability.